# PBE In6GaSe8, optimized geometry
data_In6GaSe8
_chemical_formula_sum 'In18 Ga3 Se24'
_cell_length_a 11.5164
_cell_length_b 11.5164
_cell_length_c 12.7104
_cell_angle_alpha 90.00
_cell_angle_beta 90.00
_cell_angle_gamma 120.00
_symmetry_space_group_name_H-M 'R -3'
_symmetry_Int_Tables_number 148
_symmetry_space_group_name_Hall '-R 3'
loop_
_atom_site_label
_atom_site_fract_x
_atom_site_fract_y
_atom_site_fract_z
_atom_site_occupancy
In1 0.0036 0.8071 0.3658 1
Ga1 0.0000 0.0000 0.0000 1
Se1 0.0000 0.0000 0.2390 1
Se2 0.0261 0.7362 0.5762 1
# - uncorrected energy (eV per atom) = -3.45
# - formation energy (no corrections) (kcal/mol of atoms) = -6.72